Entry from Alexandria: crystalline NaScC2 at its relaxed geometry (PBE).

Calculated values
**ΔE_f**: 1186 meV per atom
**ΔE to the lowest computed polymorph**: 0 meV/atom
**DFT total energy**: -5.34 eV/atom

Geometry as POSCAR:
```
NaScC2
1.0
0.000 2.879 2.879
2.879 0.000 2.879
2.879 2.879 0.000
Na Sc C
1 1 2
direct
0.000 0.000 0.000 Na
0.500 0.500 0.500 Sc
0.250 0.250 0.250 C
0.750 0.750 0.750 C
```